1.
Computed, not measured: PaTl5Te5 after structural relaxation at the PBE level of DFT.

Cell and atoms, written as CIF:
```
data_PaTl5Te5
_chemical_formula_sum 'Pa2 Tl10 Te10'
_cell_length_a 15.256
_cell_length_b 6.566
_cell_length_c 9.544
_cell_angle_alpha 90.00
_cell_angle_beta 111.24
_cell_angle_gamma 90.00
_symmetry_space_group_name_H-M 'C 1 2/m 1'
_symmetry_Int_Tables_number 12
loop_
_symmetry_equiv_pos_as_xyz
'x,y,z'
'-x,-y,-z'
'-x,y,-z'
'x,-y,z'
'x+1/2,y+1/2,z'
'-x+1/2,-y+1/2,-z'
'-x+1/2,y+1/2,-z'
'x+1/2,-y+1/2,z'
loop_
_atom_site_label
_atom_site_fract_x
_atom_site_fract_y
_atom_site_fract_z
Pa1 0.000 0.000 0.000
Tl1 0.000 0.000 0.500
Tl2 0.166 0.500 0.822
Tl3 0.193 0.500 0.309
Te1 0.000 0.500 0.000
Te2 0.146 0.000 0.307
Te3 0.150 0.000 0.868
```



2.
Computed, not measured: Pa3Tl2Te8 after structural relaxation at the PBE level of DFT.

Cell and atoms, written as CIF:
```
data_Pa3Tl2Te8
_chemical_formula_sum 'Pa6 Tl4 Te16'
_cell_length_a 10.758
_cell_length_b 16.612
_cell_length_c 5.236
_cell_angle_alpha 90.00
_cell_angle_beta 90.00
_cell_angle_gamma 90.00
_symmetry_space_group_name_H-M 'C m m m'
_symmetry_Int_Tables_number 65
_symmetry_space_group_name_Hall '-C 2 2'
loop_
_atom_site_label
_atom_site_fract_x
_atom_site_fract_y
_atom_site_fract_z
Pa1 0.000 0.000 0.000
Pa2 0.222 0.500 0.500
Tl1 0.000 0.258 0.000
Te1 0.000 0.103 0.500
Te2 0.000 0.386 0.500
Te3 0.240 0.107 0.000
```



3.
Computed, not measured: PaTl2Te3 after structural relaxation at the PBE level of DFT.

Cell and atoms, written as CIF:
```
data_PaTl2Te3
_chemical_formula_sum 'Pa4 Tl8 Te12'
_cell_length_a 7.991
_cell_length_b 13.696
_cell_length_c 8.511
_cell_angle_alpha 90.00
_cell_angle_beta 107.71
_cell_angle_gamma 90.00
_symmetry_space_group_name_H-M 'C 1 2/m 1'
_symmetry_Int_Tables_number 12
loop_
_symmetry_equiv_pos_as_xyz
'x,y,z'
'-x,-y,-z'
'-x,y,-z'
'x,-y,z'
'x+1/2,y+1/2,z'
'-x+1/2,-y+1/2,-z'
'-x+1/2,y+1/2,-z'
'x+1/2,-y+1/2,z'
loop_
_atom_site_label
_atom_site_fract_x
_atom_site_fract_y
_atom_site_fract_z
Pa1 0.000 0.169 0.000
Tl1 0.000 0.000 0.500
Tl2 0.000 0.345 0.500
Tl3 0.000 0.500 0.000
Te1 0.206 0.000 0.210
Te2 0.241 0.182 0.776
```

Results
Energy relative to the lowest polymorph listed for this composition, meV per atom: 0



4.
Computed, not measured: Pa2TlTe after structural relaxation at the PBE level of DFT.

Cell and atoms, written as CIF:
```
data_Pa2TlTe
_chemical_formula_sum 'Pa2 Tl1 Te1'
_cell_length_a 3.586
_cell_length_b 3.586
_cell_length_c 8.229
_cell_angle_alpha 90.00
_cell_angle_beta 90.00
_cell_angle_gamma 90.00
_symmetry_space_group_name_H-M 'P 4/m m m'
_symmetry_Int_Tables_number 123
_symmetry_space_group_name_Hall '-P 4 2'
loop_
_atom_site_label
_atom_site_fract_x
_atom_site_fract_y
_atom_site_fract_z
Pa1 0.000 0.000 0.235
Tl1 0.500 0.500 0.500
Te1 0.500 0.500 0.000
```

Results
Energy relative to the lowest polymorph listed for this composition, meV per atom: 0



Number 1: formation energy from raw total energies -4.99 eV per formula unit. Number 2: formation energy from raw total energies -8.43 eV per formula unit. Number 3: formation energy from raw total energies -3.61 eV per formula unit. Number 4: formation energy from raw total energies -0.60 eV per formula unit.